{"formula": "PaGaC", "functional": "PBE", "state": "relaxed", "cell": [[-0.123, -2.491, -2.075], [-1.522, -1.789, 2.239], [-4.112, 3.964, -1.978]], "species": ["Pa", "C", "Ga"], "fractional_positions": [[0.723, 0.723, 0.446], [0.273, 0.273, 0.545], [0.004, 0.004, 0.009]], "de_polymorph_ev_per_atom": 0.3796, "spacegroup": "I4mm, No. 107", "formation_energy_ev_per_fu": 0.62}

{"formula": "Pa2GaC", "functional": "PBE", "state": "relaxed", "cell": [[3.089, 0.000, 0.000], [0.000, 3.089, 0.000], [0.000, 0.000, 7.415]], "species": ["Pa", "Pa", "C", "Ga"], "fractional_positions": [[0.000, 0.000, 0.803], [0.000, 0.000, 0.197], [0.500, 0.500, 0.000], [0.500, 0.500, 0.500]], "de_polymorph_ev_per_atom": 0.2201, "spacegroup": "P4/mmm, No. 123", "formation_energy_ev_per_fu": -0.41}

{"formula": "Pa2GaC", "functional": "PBE", "state": "relaxed", "cell": [[-2.130, 1.115, -2.389], [-1.201, -2.144, -2.334], [-7.299, -2.030, 3.157]], "species": ["C", "Pa", "Pa", "Ga"], "fractional_positions": [[0.500, 0.500, 0.500], [0.771, 0.771, 0.688], [0.229, 0.229, 0.312], [0.000, 0.000, 0.000]], "de_polymorph_ev_per_atom": 0.0000, "spacegroup": "R-3m, No. 166", "formation_energy_ev_per_fu": -1.29}